Entry 1:
Zn3SbC | PBE | optimized geometry

## Properties
The raw total energy comes out at -1.717 eV per atom. The energy relative to the elements, uncorrected is 1717 meV per atom. The energy relative to the lowest polymorph listed for this composition is 1.094 eV per atom. As for the symmetry: Pm-3m (221).

Cell lengths 5.347, 5.347, 5.347 Å; angles 90.00, 90.00, 90.00 degrees
Last column: magnetic moment on the atom in μB.
Fractional coordinates of all 5 atoms:
Zn 0.000 0.500 0.000  0.01
C 0.500 0.500 0.500  1.05
Zn 0.000 0.000 0.500  0.00
Sb 0.000 0.000 0.000  0.02
Zn 0.500 0.000 0.000  0.03

Entry 2:
K2LiH6Au2 | PBE | optimized geometry

## Properties
The raw total energy comes out at -2.911 eV per atom. As for the symmetry: C2/m (12).

Cell lengths 4.873, 6.795, 6.759 Å; angles 119.49, 90.00, 111.01 degrees
Fractional coordinates of all 11 atoms:
K 0.310 0.619 0.810
H 0.145 0.798 0.235
Au 0.007 0.014 0.279
K 0.690 0.381 0.190
H 0.152 0.304 0.330
H 0.348 0.202 0.765
H 0.855 0.202 0.765
H 0.848 0.696 0.670
H 0.652 0.798 0.235
Li 0.500 0.000 0.500
Au 0.993 0.986 0.721

Entry 3:
CaCe2Ag | PBE | optimized geometry

## Properties
The value obtained for the formation energy is 22.98 kJ per mole of atoms. The raw total energy comes out at -3.942 eV per atom. As for the symmetry: R-3m (166).

Cell lengths 3.280, 3.280, 12.082 Å; angles 82.20, 82.20, 60.00 degrees
Last column: magnetic moment on the atom in μB.
Fractional coordinates of all 4 atoms:
Ce 0.093 0.093 0.720  0.63
Ce 0.907 0.907 0.280  0.63
Ag 0.500 0.500 0.500  0.02
Ca 0.000 0.000 0.000  0.00

Entry 4:
ZrMn2Cd | PBE | optimized geometry

## Properties
The value obtained for the formation energy is 5.66 kJ per mole of atoms. The raw total energy comes out at -6.892 eV per atom. As for the symmetry: Pmm2 (25).

Cell lengths 3.022, 3.071, 8.040 Å; angles 67.53, 90.00, 90.00 degrees
Last column: magnetic moment on the atom in μB.
Fractional coordinates of all 4 atoms:
Mn 0.000 0.954 0.046  2.99
Zr 0.000 0.533 0.466  0.14
Cd 0.500 0.716 0.784  -0.03
Mn 0.500 0.297 0.204  -2.55

no.,theoretical density (g/cm³)
1,3.58
2,4.54
3,6.40
4,7.55